(1)
{
  "formula": "Nd2Sm3ErSe6",
  "functional": "PBE",
  "state": "optimized geometry",
  "final_energy_ev_per_cell": -70.79,
  "sg": "C2/m, No. 12",
  "lattice": [[4.152, 0.000, 0.000], [0.000, 8.382, 0.326], [-2.076, -2.388, 8.756]],
  "species": ["Nd", "Nd", "Sm", "Sm", "Sm", "Er", "Se", "Se", "Se", "Se", "Se", "Se"],
  "frac_coords": [[0.831, 0.663, 0.662], [0.169, 0.337, 0.338], [0.500, 0.500, 0.000], [0.829, 0.166, 0.657], [0.171, 0.834, 0.343], [0.500, 0.000, 0.000], [0.339, 0.923, 0.678], [0.664, 0.586, 0.329], [0.661, 0.077, 0.322], [0.998, 0.240, 0.995], [0.002, 0.760, 0.005], [0.336, 0.414, 0.671]]
}

---

(2)
{
  "formula": "Nd4Sm3ErSe8",
  "functional": "PBE",
  "state": "optimized geometry",
  "final_energy_ev_per_cell": -94.60,
  "sg": "R-3m, No. 166",
  "lattice": [[8.352, 0.000, 0.000], [0.000, 8.396, 0.026], [-4.176, -4.172, 5.908]],
  "species": ["Nd", "Nd", "Nd", "Nd", "Sm", "Sm", "Sm", "Er", "Se", "Se", "Se", "Se", "Se", "Se", "Se", "Se"],
  "frac_coords": [[0.500, 0.000, 0.000], [0.500, 0.000, 0.500], [0.000, 0.000, 0.000], [0.000, 0.000, 0.500], [0.500, 0.500, 0.000], [0.500, 0.500, 0.500], [0.000, 0.500, 0.500], [0.000, 0.500, 0.000], [0.243, 0.740, 0.996], [0.244, 0.740, 0.487], [0.252, 0.256, 0.504], [0.753, 0.740, 0.996], [0.247, 0.260, 0.004], [0.748, 0.744, 0.496], [0.756, 0.260, 0.513], [0.757, 0.260, 0.004]]
}

---

(3)
{
  "formula": "NdSm2ErSe4",
  "functional": "PBE",
  "state": "optimized geometry",
  "final_energy_ev_per_cell": -46.99,
  "sg": "P2/m, No. 10",
  "lattice": [[4.096, 0.000, 0.000], [0.000, 7.179, -0.168], [0.000, 2.505, 6.843]],
  "species": ["Nd", "Sm", "Sm", "Er", "Se", "Se", "Se", "Se"],
  "frac_coords": [[0.500, 0.500, 0.000], [0.000, 0.000, 0.000], [0.500, 0.000, 0.500], [0.000, 0.500, 0.500], [0.000, 0.749, 0.742], [0.000, 0.251, 0.258], [0.500, 0.742, 0.261], [0.500, 0.258, 0.739]]
}

---

(4)
{
  "formula": "NdErSnSe",
  "functional": "PBE",
  "state": "optimized geometry",
  "final_energy_ev_per_cell": -21.81,
  "sg": "P4/mmm, No. 123",
  "lattice": [[4.294, 0.000, 0.000], [0.000, 4.286, 0.254], [0.000, -0.364, 6.134]],
  "species": ["Nd", "Er", "Sn", "Se"],
  "frac_coords": [[0.000, 0.892, 0.592], [0.500, 0.391, 0.092], [0.000, 0.892, 0.092], [0.500, 0.392, 0.593]]
}

---

(5)
{
  "formula": "TbNdEr2Se6",
  "functional": "PBE",
  "state": "optimized geometry",
  "final_energy_ev_per_cell": -57.87,
  "sg": "R3, No. 146",
  "lattice": [[-6.522, -2.540, 1.915], [-1.270, -7.145, -0.050], [-0.635, -3.621, 6.785]],
  "species": ["Tb", "Nd", "Er", "Er", "Se", "Se", "Se", "Se", "Se", "Se"],
  "frac_coords": [[0.317, 0.317, 0.049], [0.813, 0.813, 0.562], [0.514, 0.514, 0.457], [0.012, 0.012, 0.965], [0.616, 0.229, 0.246], [0.229, 0.909, 0.246], [0.909, 0.616, 0.246], [0.395, 0.728, 0.748], [0.728, 0.129, 0.748], [0.129, 0.395, 0.748]]
}

---

(6)
{
  "formula": "Tb2NdErSe4",
  "functional": "PBE",
  "state": "optimized geometry",
  "final_energy_ev_per_cell": -46.63,
  "sg": "P2/m, No. 10",
  "lattice": [[-2.297, 1.238, -3.108], [-1.163, -6.755, -1.830], [-5.919, -2.357, 3.435]],
  "species": ["Tb", "Tb", "Nd", "Er", "Se", "Se", "Se", "Se"],
  "frac_coords": [[0.000, 0.000, 0.000], [0.500, 0.000, 0.500], [0.500, 0.500, 0.000], [0.000, 0.500, 0.500], [0.000, 0.756, 0.740], [0.000, 0.244, 0.260], [0.500, 0.750, 0.258], [0.500, 0.250, 0.742]]
}

---

Number 1: E_form (uncorrected) -1803 meV per atom. Number 2: E_form (uncorrected) -1808 meV per atom. Number 3: E_form (uncorrected) -1786 meV per atom. Number 4: E_form (uncorrected) -1249 meV per atom. Number 5: E_form (uncorrected) -1844 meV per atom. Number 6: E_form (uncorrected) -1763 meV per atom.